ScHgSCl2 (PBE, relaxed); relative energy among the computed polymorphs = 1002 meV per atom; magnetic moment = 0.95 μB per cell; DOS at the Fermi energy = 1.22 states/eV per atom
1.0
5.165 0.000 0.000
0.000 5.165 0.000
0.000 0.000 5.143
Sc Hg S Cl
1 1 1 2
Direct
0.000 0.000 0.000
0.500 0.500 0.500
0.500 0.500 0.000
0.000 0.500 0.500
0.500 0.000 0.500


ScHgS2Cl (PBE, relaxed); relative energy among the computed polymorphs = 785 meV per atom; magnetic moment = 0.50 μB per cell; DOS at the Fermi energy = 0.88 states/eV per atom
1.0
4.975 0.000 0.000
0.000 4.975 0.000
0.000 0.000 5.133
Sc Hg S Cl
1 1 2 1
Direct
0.000 0.000 0.000
0.500 0.500 0.500
0.000 0.500 0.500
0.500 0.000 0.500
0.500 0.500 0.000


ScHgS2Cl (PBE, relaxed); relative energy among the computed polymorphs = 0 meV per atom; magnetic moment = 0.00 μB per cell; DOS at the Fermi energy = 0.41 states/eV per atom
1.0
5.026 0.000 0.000
0.000 5.026 0.000
0.000 0.000 4.884
Sc Hg S Cl
1 1 2 1
Direct
0.000 0.000 0.000
0.500 0.500 0.500
0.000 0.500 0.000
0.500 0.000 0.000
0.000 0.000 0.500


ScHgSCl2 (PBE, relaxed); relative energy among the computed polymorphs = 0 meV per atom; magnetic moment = 0.00 μB per cell; DOS at the Fermi energy = 0.31 states/eV per atom
1.0
4.938 0.000 0.000
0.000 4.938 0.000
0.000 0.000 5.178
Sc Hg S Cl
1 1 1 2
Direct
0.000 0.000 0.000
0.500 0.500 0.500
0.000 0.000 0.500
0.000 0.500 0.000
0.500 0.000 0.000


Hg6Se2S2Cl (PBE, relaxed); magnetic moment = 0.00 μB per cell; DOS at the Fermi energy = 0.39 states/eV per atom; E_tot = -1.80 eV/atom
1.0
7.061 -3.596 0.000
7.061 3.596 0.000
-4.099 0.000 6.806
Hg Se S Cl
6 2 2 1
Direct
0.163 0.670 0.726
0.275 0.275 0.126
0.330 0.837 0.274
0.670 0.163 0.726
0.725 0.725 0.874
0.837 0.330 0.274
0.294 0.294 0.724
0.706 0.706 0.276
0.038 0.038 0.759
0.962 0.962 0.241
0.500 0.500 0.500


Hg4SeS2Cl (PBE, relaxed); magnetic moment = 0.00 μB per cell; DOS at the Fermi energy = 0.45 states/eV per atom; E_tot = -2.02 eV/atom
1.0
0.000 4.393 6.287
4.388 0.000 6.287
4.388 4.393 0.000
Hg Se S Cl
4 1 2 1
Direct
0.232 0.768 0.232
0.489 0.953 0.511
0.768 0.232 0.768
0.953 0.489 0.047
0.861 0.861 0.139
0.111 0.111 0.389
0.611 0.611 0.889
0.361 0.361 0.639


HgSeSCl2 (PBE, relaxed); relative energy among the computed polymorphs = 0 meV per atom; magnetic moment = 0.00 μB per cell; DOS at the Fermi energy = 0.70 states/eV per atom
1.0
5.000 0.000 0.000
0.000 5.000 0.000
0.000 0.000 5.024
Hg Se S Cl
1 1 1 2
Direct
0.000 0.000 0.000
0.500 0.500 0.500
0.500 0.500 0.000
0.000 0.500 0.500
0.500 0.000 0.500


HgSeS2Cl (PBE, relaxed); relative energy among the computed polymorphs = 0 meV per atom; magnetic moment = 0.00 μB per cell; DOS at the Fermi energy = 0.46 states/eV per atom
1.0
4.922 0.000 0.000
0.000 4.922 0.000
0.000 0.000 4.892
Hg Se S Cl
1 1 2 1
Direct
0.000 0.000 0.000
0.500 0.500 0.500
0.000 0.500 0.500
0.500 0.000 0.500
0.500 0.500 0.000


SiHgSCl2 (PBE, relaxed); relative energy among the computed polymorphs = 0 meV per atom; magnetic moment = 0.00 μB per cell; DOS at the Fermi energy = 0.35 states/eV per atom
1.0
4.780 0.000 0.000
0.000 4.780 0.000
0.000 0.000 4.730
Si Hg S Cl
1 1 1 2
Direct
0.000 0.000 0.000
0.500 0.500 0.500
0.000 0.000 0.500
0.000 0.500 0.000
0.500 0.000 0.000


SiHgS2Cl (PBE, relaxed); relative energy among the computed polymorphs = 0 meV per atom; magnetic moment = 0.00 μB per cell; DOS at the Fermi energy = 0.30 states/eV per atom
1.0
4.616 0.000 0.000
0.000 4.616 0.000
0.000 0.000 4.734
Si Hg S Cl
1 1 2 1
Direct
0.000 0.000 0.000
0.500 0.500 0.500
0.000 0.500 0.000
0.500 0.000 0.000
0.000 0.000 0.500


SnHg2SCl (PBE, relaxed); magnetic moment = 1.25 μB per cell; DOS at the Fermi energy = 0.79 states/eV per atom; E_tot = -1.90 eV/atom
1.0
5.664 0.000 0.000
0.000 5.664 0.000
0.000 0.000 5.251
Sn Hg S Cl
1 2 1 1
Direct
0.000 0.000 0.000
0.000 0.500 0.000
0.500 0.000 0.000
0.500 0.500 0.500
0.000 0.000 0.500


SnHgSCl2 (PBE, relaxed); relative energy among the computed polymorphs = 0 meV per atom; magnetic moment = 0.00 μB per cell; DOS at the Fermi energy = 0.61 states/eV per atom
1.0
5.232 0.000 0.000
0.000 5.232 0.000
0.000 0.000 5.095
Sn Hg S Cl
1 1 1 2
Direct
0.000 0.000 0.000
0.500 0.500 0.500
0.000 0.000 0.500
0.000 0.500 0.000
0.500 0.000 0.000


TaHgS2Cl (PBE, relaxed); relative energy among the computed polymorphs = 0 meV per atom; magnetic moment = 0.00 μB per cell; DOS at the Fermi energy = 0.58 states/eV per atom
1.0
4.813 0.000 0.000
0.000 4.813 0.000
0.000 0.000 4.984
Ta Hg S Cl
1 1 2 1
Direct
0.000 0.000 0.000
0.500 0.500 0.500
0.000 0.500 0.000
0.500 0.000 0.000
0.000 0.000 0.500


TaHgS2Cl (PBE, relaxed); relative energy among the computed polymorphs = 1629 meV per atom; magnetic moment = 2.51 μB per cell; DOS at the Fermi energy = 1.05 states/eV per atom
1.0
4.940 0.000 0.000
0.000 4.940 0.000
0.000 0.000 5.028
Ta Hg S Cl
1 1 2 1
Direct
0.000 0.000 0.000
0.500 0.500 0.500
0.000 0.500 0.500
0.500 0.000 0.500
0.500 0.500 0.000


Tb3HgSCl (PBE, relaxed); magnetic moment = 0.00 μB per cell; DOS at the Fermi energy = 0.67 states/eV per atom; E_tot = -4.62 eV/atom
1.0
7.786 0.000 0.000
0.000 3.947 0.000
-3.174 0.000 9.987
Tb Hg S Cl
6 2 2 2
Direct
0.175 0.250 0.158
0.297 0.750 0.507
0.322 0.750 0.876
0.678 0.250 0.124
0.703 0.250 0.493
0.825 0.750 0.842
0.490 0.750 0.274
0.510 0.250 0.726
0.086 0.250 0.888
0.914 0.750 0.112
0.041 0.250 0.386
0.959 0.750 0.614


TcHgS2Cl (PBE, relaxed); relative energy among the computed polymorphs = 0 meV per atom; magnetic moment = 0.00 μB per cell; DOS at the Fermi energy = 1.07 states/eV per atom
1.0
4.604 0.000 0.000
0.000 4.604 0.000
0.000 0.000 5.079
Tc Hg S Cl
1 1 2 1
Direct
0.000 0.000 0.000
0.500 0.500 0.500
0.000 0.500 0.000
0.500 0.000 0.000
0.000 0.000 0.500


TcHgS2Cl (PBE, relaxed); relative energy among the computed polymorphs = 1030 meV per atom; magnetic moment = 4.86 μB per cell; DOS at the Fermi energy = 0.60 states/eV per atom
1.0
4.991 0.000 0.000
0.000 4.991 0.000
0.000 0.000 5.154
Tc Hg S Cl
1 1 2 1
Direct
0.000 0.000 0.000
0.500 0.500 0.500
0.000 0.500 0.500
0.500 0.000 0.500
0.500 0.500 0.000


HgTeSCl2 (PBE, relaxed); relative energy among the computed polymorphs = 0 meV per atom; magnetic moment = 0.00 μB per cell; DOS at the Fermi energy = 0.76 states/eV per atom
1.0
5.374 0.000 0.000
0.000 5.374 0.000
0.000 0.000 5.045
Hg Te S Cl
1 1 1 2
Direct
0.000 0.000 0.000
0.500 0.500 0.500
0.500 0.500 0.000
0.000 0.500 0.500
0.500 0.000 0.500


Hg6Te2S2Cl (PBE, relaxed); magnetic moment = 0.00 μB per cell; DOS at the Fermi energy = 0.38 states/eV per atom; E_tot = -1.72 eV/atom
1.0
7.475 -3.630 0.000
7.475 3.630 0.000
-2.912 0.000 6.579
Hg Te S Cl
6 2 2 1
Direct
0.163 0.686 0.730
0.271 0.271 0.162
0.314 0.837 0.270
0.686 0.163 0.730
0.729 0.729 0.838
0.837 0.314 0.270
0.291 0.291 0.706
0.709 0.709 0.294
0.043 0.043 0.778
0.957 0.957 0.222
0.500 0.500 0.500


HgTeSCl2 (PBE, relaxed); relative energy among the computed polymorphs = 381 meV per atom; magnetic moment = 1.52 μB per cell; DOS at the Fermi energy = 0.82 states/eV per atom
1.0
5.062 0.000 0.000
0.000 5.062 0.000
0.000 0.000 5.450
Hg Te S Cl
1 1 1 2
Direct
0.000 0.000 0.000
0.500 0.500 0.500
0.000 0.000 0.500
0.000 0.500 0.000
0.500 0.000 0.000


Hg4Te2SCl (PBE, relaxed); magnetic moment = 0.00 μB per cell; DOS at the Fermi energy = 0.35 states/eV per atom; E_tot = -1.84 eV/atom
1.0
0.000 4.699 6.284
4.696 0.000 6.284
4.696 4.699 0.000
Hg Te S Cl
4 2 1 1
Direct
0.021 0.470 0.979
0.226 0.774 0.226
0.470 0.021 0.530
0.774 0.226 0.774
0.372 0.372 0.128
0.872 0.872 0.628
0.122 0.122 0.878
0.622 0.622 0.378


TiHgSCl2 (PBE, relaxed); relative energy among the computed polymorphs = 1227 meV per atom; magnetic moment = 0.12 μB per cell; DOS at the Fermi energy = 2.57 states/eV per atom
1.0
5.157 0.000 0.000
0.000 5.157 0.000
0.000 0.000 5.104
Ti Hg S Cl
1 1 1 2
Direct
0.000 0.000 0.000
0.500 0.500 0.500
0.500 0.500 0.000
0.000 0.500 0.500
0.500 0.000 0.500


TiHgS2Cl (PBE, relaxed); relative energy among the computed polymorphs = 0 meV per atom; magnetic moment = 0.00 μB per cell; DOS at the Fermi energy = 0.70 states/eV per atom
1.0
4.753 0.000 0.000
0.000 4.753 0.000
0.000 0.000 4.895
Ti Hg S Cl
1 1 2 1
Direct
0.000 0.000 0.000
0.500 0.500 0.500
0.000 0.500 0.000
0.500 0.000 0.000
0.000 0.000 0.500


TiHgSCl2 (PBE, relaxed); relative energy among the computed polymorphs = 0 meV per atom; magnetic moment = 0.00 μB per cell; DOS at the Fermi energy = 0.56 states/eV per atom
1.0
4.913 0.000 0.000
0.000 4.913 0.000
0.000 0.000 4.733
Ti Hg S Cl
1 1 1 2
Direct
0.000 0.000 0.000
0.500 0.500 0.500
0.000 0.000 0.500
0.000 0.500 0.000
0.500 0.000 0.000


TiHgS2Cl (PBE, relaxed); relative energy among the computed polymorphs = 1114 meV per atom; magnetic moment = 1.59 μB per cell; DOS at the Fermi energy = 1.22 states/eV per atom
1.0
4.959 0.000 0.000
0.000 4.959 0.000
0.000 0.000 5.200
Ti Hg S Cl
1 1 2 1
Direct
0.000 0.000 0.000
0.500 0.500 0.500
0.000 0.500 0.500
0.500 0.000 0.500
0.500 0.500 0.000


TlHgS2Cl (PBE, relaxed); relative energy among the computed polymorphs = 0 meV per atom; magnetic moment = 1.22 μB per cell; DOS at the Fermi energy = 1.36 states/eV per atom
1.0
5.017 0.000 0.000
0.000 5.017 0.000
0.000 0.000 5.737
Tl Hg S Cl
1 1 2 1
Direct
0.000 0.000 0.000
0.500 0.500 0.500
0.000 0.500 0.500
0.500 0.000 0.500
0.500 0.500 0.000


TlHgS2Cl (PBE, relaxed); relative energy among the computed polymorphs = 250 meV per atom; magnetic moment = 0.00 μB per cell; DOS at the Fermi energy = 1.11 states/eV per atom
1.0
5.198 0.000 0.000
0.000 5.198 0.000
0.000 0.000 5.255
Tl Hg S Cl
1 1 2 1
Direct
0.000 0.000 0.000
0.500 0.500 0.500
0.000 0.500 0.000
0.500 0.000 0.000
0.000 0.000 0.500